(1)
# AgTeAu2 | the Alexandria database | PBE | relaxed
data_AgTeAu2
_cell_length_a 3.111
_cell_length_b 3.953
_cell_length_c 7.064
_cell_angle_alpha 90.00
_cell_angle_beta 90.14
_cell_angle_gamma 90.00
_space_group_name_H-M_alt 'P 1'
_space_group_IT_number 1
_space_group_name_Hall 'P 1'
loop_
_atom_site_label
_atom_site_type_symbol
_atom_site_fract_x
_atom_site_fract_y
_atom_site_fract_z
Ag1 Ag 0.000 0.000 0.000
Te1 Te 0.500 0.000 0.500
Au1 Au 0.500 0.500 0.204
Au2 Au 0.500 0.500 0.796
# - Formation energy (no corrections): 0.02 eV/atom
# - N(E_F): 1.3 states/eV per cell



(2)
# Ag7TeAu2 | the Alexandria database | PBE | relaxed
data_Ag7TeAu2
_cell_length_a 7.866
_cell_length_b 7.866
_cell_length_c 4.739
_cell_angle_alpha 90.00
_cell_angle_beta 90.00
_cell_angle_gamma 122.17
_space_group_name_H-M_alt 'P 1'
_space_group_IT_number 1
_space_group_name_Hall 'P 1'
loop_
_atom_site_label
_atom_site_type_symbol
_atom_site_fract_x
_atom_site_fract_y
_atom_site_fract_z
Ag1 Ag 0.000 0.000 0.000
Ag2 Ag 0.207 0.426 0.000
Ag3 Ag 0.298 0.702 0.500
Ag4 Ag 0.426 0.207 0.000
Ag5 Ag 0.574 0.793 0.000
Ag6 Ag 0.702 0.298 0.500
Ag7 Ag 0.793 0.574 0.000
Te1 Te 0.500 0.500 0.500
Au1 Au 0.203 0.797 0.000
Au2 Au 0.797 0.203 0.000
# - Formation energy (no corrections): 0.26 eV/atom
# - N(E_F): 2.4 states/eV per cell



(3)
# AgTe2Au | the Alexandria database | PBE | relaxed
data_AgTe2Au
_cell_length_a 3.159
_cell_length_b 3.159
_cell_length_c 10.211
_cell_angle_alpha 90.00
_cell_angle_beta 90.00
_cell_angle_gamma 100.87
_space_group_name_H-M_alt 'P 1'
_space_group_IT_number 1
_space_group_name_Hall 'P 1'
loop_
_atom_site_label
_atom_site_type_symbol
_atom_site_fract_x
_atom_site_fract_y
_atom_site_fract_z
Ag1 Ag 0.000 0.000 0.000
Te1 Te 0.000 0.000 0.416
Te2 Te 0.500 0.500 0.778
Au1 Au 0.500 0.500 0.194
# - Distance to the lowest polymorph of the same formula: 0.182 eV/atom
# - Formation energy (no corrections): 0.15 eV/atom
# - N(E_F): 1.2 states/eV per cell



(4)
# AgTe2Au | the Alexandria database | PBE | relaxed
data_AgTe2Au
_cell_length_a 3.140
_cell_length_b 3.140
_cell_length_c 10.303
_cell_angle_alpha 90.00
_cell_angle_beta 90.00
_cell_angle_gamma 90.00
_space_group_name_H-M_alt 'P 1'
_space_group_IT_number 1
_space_group_name_Hall 'P 1'
loop_
_atom_site_label
_atom_site_type_symbol
_atom_site_fract_x
_atom_site_fract_y
_atom_site_fract_z
Ag1 Ag 0.000 0.000 0.000
Te1 Te 0.000 0.000 0.410
Te2 Te 0.500 0.500 0.780
Au1 Au 0.500 0.500 0.186
# - Distance to the lowest polymorph of the same formula: 0.189 eV/atom
# - Formation energy (no corrections): 0.15 eV/atom
# - N(E_F): 1.6 states/eV per cell



(5)
# Ag2Te5Au2 | the Alexandria database | PBE | relaxed
data_Ag2Te5Au2
_cell_length_a 11.247
_cell_length_b 11.247
_cell_length_c 11.247
_cell_angle_alpha 53.59
_cell_angle_beta 143.69
_cell_angle_gamma 141.97
_space_group_name_H-M_alt 'P 1'
_space_group_IT_number 1
_space_group_name_Hall 'P 1'
loop_
_atom_site_label
_atom_site_type_symbol
_atom_site_fract_x
_atom_site_fract_y
_atom_site_fract_z
Ag1 Ag 0.010 0.127 0.137
Ag2 Ag 0.010 0.373 0.384
Ag3 Ag 0.990 0.627 0.616
Ag4 Ag 0.990 0.873 0.863
Te1 Te 0.229 0.499 0.001
Te2 Te 0.229 0.728 0.231
Te3 Te 0.494 0.264 0.346
Te4 Te 0.494 0.648 0.731
Te5 Te 0.498 0.228 0.999
Te6 Te 0.498 0.999 0.769
Te7 Te 0.748 0.587 0.661
Te8 Te 0.917 0.148 0.654
Te9 Te 0.917 0.764 0.269
Te10 Te 0.926 0.087 0.339
Au1 Au 0.421 0.421 0.000
Au2 Au 0.421 0.921 0.500
Au3 Au 0.425 0.218 0.707
Au4 Au 0.511 0.718 0.293
# - Distance to the lowest polymorph of the same formula: 0.019 eV/atom
# - Formation energy (no corrections): 0.06 eV/atom
# - N(E_F): 10.6 states/eV per cell



(6)
# AgTe2Au | the Alexandria database | PBE | relaxed
data_AgTe2Au
_cell_length_a 7.263
_cell_length_b 7.263
_cell_length_c 7.263
_cell_angle_alpha 33.20
_cell_angle_beta 33.20
_cell_angle_gamma 33.20
_space_group_name_H-M_alt 'P 1'
_space_group_IT_number 1
_space_group_name_Hall 'P 1'
loop_
_atom_site_label
_atom_site_type_symbol
_atom_site_fract_x
_atom_site_fract_y
_atom_site_fract_z
Ag1 Ag 0.000 0.000 0.000
Te1 Te 0.579 0.579 0.579
Te2 Te 0.756 0.756 0.756
Au1 Au 0.166 0.166 0.166
# - Distance to the lowest polymorph of the same formula: 0.097 eV/atom
# - Formation energy (no corrections): 0.06 eV/atom
# - N(E_F): 2.4 states/eV per cell